VASP calculation (PBE) on SmPuPdRh after structural relaxation.

Output
Its calculated formation energy is -0.621 eV per atom. As for the crystal system: orthorhombic. The electronic total energy is -8.519 eV/atom. Its distance to the lowest polymorph of the same formula is 0 meV/atom. Its space group is Amm2.

Cell lengths 4.1351, 3.8799, 11.2385 Å; angles 90.00, 90.00, 90.00 degrees
Element x y z (fractional)
Sm 0.0000 0.0000 0.0000
Sm 0.0000 0.5000 0.5000
Pu 0.5000 0.0000 0.2793
Pu 0.5000 0.5000 0.7793
Pd 0.5000 0.0000 0.5633
Pd 0.5000 0.5000 0.0633
Rh 0.0000 0.0000 0.7412
Rh 0.0000 0.5000 0.2412